# 1
Material: YTeMo
Method: DFT, PBE-GGA
State: relaxed

a = 6.6993 Å, b = 6.6993 Å, c = 6.6993 Å
α = 90.00°, β = 90.00°, γ = 90.00°
Sites, in units of the cell vectors:
Y 0.0000 0.0000 0.0000
Y 0.0000 0.5000 0.5000
Y 0.5000 0.0000 0.5000
Y 0.5000 0.5000 0.0000
Te 0.2500 0.2500 0.7500
Te 0.2500 0.7500 0.2500
Te 0.7500 0.2500 0.2500
Te 0.7500 0.7500 0.7500
Mo 0.0000 0.0000 0.5000
Mo 0.0000 0.5000 0.0000
Mo 0.5000 0.0000 0.0000
Mo 0.5000 0.5000 0.5000

Offset from the most stable computed form, meV/atom: 0
Energy, eV/cell: -78.94
Space group: F-43m (216)

=====

# 2
Material: ThMo
Method: DFT, PBE-GGA
State: relaxed

a = 5.8052 Å, b = 5.8052 Å, c = 5.8052 Å
α = 90.00°, β = 90.00°, γ = 90.00°
Sites, in units of the cell vectors:
Th 0.0000 0.0000 0.0000
Th 0.0000 0.5000 0.5000
Th 0.5000 0.0000 0.5000
Th 0.5000 0.5000 0.0000
Mo 0.0000 0.0000 0.5000
Mo 0.0000 0.5000 0.0000
Mo 0.5000 0.0000 0.0000
Mo 0.5000 0.5000 0.5000

ΔE_f, eV per formula unit: 1.85
Offset from the most stable computed form, meV/atom: 217
Energy, eV/cell: -65.65
Space group: Fm-3m (225)

=====

# 3
Material: ThMo
Method: DFT, PBE-GGA
State: relaxed

a = 3.4656 Å, b = 3.4656 Å, c = 4.5046 Å
α = 90.00°, β = 90.00°, γ = 120.00°
Sites, in units of the cell vectors:
Th 0.0000 0.0000 0.0000
Mo 0.3333 0.6667 0.5000

ΔE_f, eV per formula unit: 1.42
Offset from the most stable computed form, meV/atom: 0
Energy, eV/cell: -16.85
Space group: P-6m2 (187)

=====

# 4
Material: ThMo
Method: DFT, PBE-GGA
State: relaxed

a = 6.1192 Å, b = 6.1192 Å, c = 6.1192 Å
α = 90.00°, β = 90.00°, γ = 90.00°
Sites, in units of the cell vectors:
Th 0.0000 0.0000 0.0000
Th 0.0000 0.5000 0.5000
Th 0.5000 0.0000 0.5000
Th 0.5000 0.5000 0.0000
Mo 0.2500 0.2500 0.2500
Mo 0.2500 0.7500 0.7500
Mo 0.7500 0.2500 0.7500
Mo 0.7500 0.7500 0.2500

ΔE_f, eV per formula unit: 3.38
Offset from the most stable computed form, meV/atom: 984
Energy, eV/cell: -59.51
Space group: F-43m (216)

=====

# 5
Material: ThTlMo
Method: DFT, PBE-GGA
State: relaxed

a = 6.9405 Å, b = 6.9405 Å, c = 6.9405 Å
α = 90.00°, β = 90.00°, γ = 90.00°
Sites, in units of the cell vectors:
Th 0.0000 0.0000 0.0000
Th 0.0000 0.5000 0.5000
Th 0.5000 0.0000 0.5000
Th 0.5000 0.5000 0.0000
Tl 0.2500 0.2500 0.7500
Tl 0.2500 0.7500 0.2500
Tl 0.7500 0.2500 0.2500
Tl 0.7500 0.7500 0.7500
Mo 0.0000 0.0000 0.5000
Mo 0.0000 0.5000 0.0000
Mo 0.5000 0.0000 0.0000
Mo 0.5000 0.5000 0.5000

Energy, eV/cell: -71.39
Space group: F-43m (216)

=====

# 6
Material: TmThMo
Method: DFT, PBE-GGA
State: relaxed

a = 6.9028 Å, b = 6.9028 Å, c = 6.9028 Å
α = 90.00°, β = 90.00°, γ = 90.00°
Sites, in units of the cell vectors:
Tm 0.0000 0.0000 0.0000
Tm 0.0000 0.5000 0.5000
Tm 0.5000 0.0000 0.5000
Tm 0.5000 0.5000 0.0000
Th 0.0000 0.0000 0.5000
Th 0.0000 0.5000 0.0000
Th 0.5000 0.0000 0.0000
Th 0.5000 0.5000 0.5000
Mo 0.2500 0.2500 0.7500
Mo 0.2500 0.7500 0.2500
Mo 0.7500 0.2500 0.2500
Mo 0.7500 0.7500 0.7500

ΔE_f, eV per formula unit: 1.18
Offset from the most stable computed form, meV/atom: 0
Energy, eV/cell: -86.21
Space group: F-43m (216)

=====

# 7
Material: ThMoW
Method: DFT, PBE-GGA
State: relaxed

a = 6.5245 Å, b = 6.5245 Å, c = 6.5245 Å
α = 90.00°, β = 90.00°, γ = 90.00°
Sites, in units of the cell vectors:
Th 0.0000 0.0000 0.0000
Th 0.0000 0.5000 0.5000
Th 0.5000 0.0000 0.5000
Th 0.5000 0.5000 0.0000
Mo 0.2500 0.2500 0.2500
Mo 0.2500 0.7500 0.7500
Mo 0.7500 0.2500 0.7500
Mo 0.7500 0.7500 0.2500
W 0.0000 0.0000 0.5000
W 0.0000 0.5000 0.0000
W 0.5000 0.0000 0.0000
W 0.5000 0.5000 0.5000

ΔE_f, eV per formula unit: 2.20
Offset from the most stable computed form, meV/atom: 0
Energy, eV/cell: -116.08
Space group: F-43m (216)

=====

# 8
Material: ThZnMo
Method: DFT, PBE-GGA
State: relaxed

a = 6.4500 Å, b = 6.4500 Å, c = 6.4500 Å
α = 90.00°, β = 90.00°, γ = 90.00°
Sites, in units of the cell vectors:
Th 0.0000 0.0000 0.0000
Th 0.0000 0.5000 0.5000
Th 0.5000 0.0000 0.5000
Th 0.5000 0.5000 0.0000
Zn 0.0000 0.0000 0.5000
Zn 0.0000 0.5000 0.0000
Zn 0.5000 0.0000 0.0000
Zn 0.5000 0.5000 0.5000
Mo 0.2500 0.2500 0.2500
Mo 0.2500 0.7500 0.7500
Mo 0.7500 0.2500 0.7500
Mo 0.7500 0.7500 0.2500

ΔE_f, eV per formula unit: 1.59
Offset from the most stable computed form, meV/atom: 0
Energy, eV/cell: -71.73
Space group: F-43m (216)

=====

# 9
Material: ThZrMo
Method: DFT, PBE-GGA
State: relaxed

a = 6.7813 Å, b = 6.7813 Å, c = 6.7813 Å
α = 90.00°, β = 90.00°, γ = 90.00°
Sites, in units of the cell vectors:
Th 0.0000 0.0000 0.0000
Th 0.0000 0.5000 0.5000
Th 0.5000 0.0000 0.5000
Th 0.5000 0.5000 0.0000
Zr 0.0000 0.0000 0.5000
Zr 0.0000 0.5000 0.0000
Zr 0.5000 0.0000 0.0000
Zr 0.5000 0.5000 0.5000
Mo 0.2500 0.2500 0.2500
Mo 0.2500 0.7500 0.7500
Mo 0.7500 0.2500 0.7500
Mo 0.7500 0.7500 0.2500

ΔE_f, eV per formula unit: 0.89
Offset from the most stable computed form, meV/atom: 0
Energy, eV/cell: -103.69
Space group: F-43m (216)

=====

# 10
Material: TlMo2
Method: DFT, PBE-GGA
State: relaxed

a = 5.4130 Å, b = 5.4130 Å, c = 5.4130 Å
α = 60.00°, β = 60.00°, γ = 60.00°
Sites, in units of the cell vectors:
Tl 0.1250 0.1250 0.1250
Tl 0.8750 0.8750 0.8750
Mo 0.0000 0.5000 0.5000
Mo 0.5000 0.0000 0.5000
Mo 0.5000 0.5000 0.0000
Mo 0.5000 0.5000 0.5000

Offset from the most stable computed form, meV/atom: 0
Energy, eV/cell: -43.75
Space group: Fd-3m (227)

=====

# 11
Material: TlMo
Method: DFT, PBE-GGA
State: relaxed

a = 6.3586 Å, b = 6.3586 Å, c = 6.3586 Å
α = 90.00°, β = 90.00°, γ = 90.00°
Sites, in units of the cell vectors:
Tl 0.0000 0.0000 0.0000
Tl 0.0000 0.5000 0.5000
Tl 0.5000 0.0000 0.5000
Tl 0.5000 0.5000 0.0000
Mo 0.2500 0.2500 0.2500
Mo 0.2500 0.7500 0.7500
Mo 0.7500 0.2500 0.7500
Mo 0.7500 0.7500 0.2500

Offset from the most stable computed form, meV/atom: 1414
Energy, eV/cell: -34.87
Space group: F-43m (216)

=====

# 12
Material: Tl2Mo
Method: DFT, PBE-GGA
State: relaxed

a = 14.6702 Å, b = 14.6702 Å, c = 14.6702 Å
α = 12.62°, β = 12.62°, γ = 12.62°
Sites, in units of the cell vectors:
Tl 0.1352 0.1352 0.1352
Tl 0.3025 0.3025 0.3025
Tl 0.6975 0.6975 0.6975
Tl 0.8648 0.8648 0.8648
Mo 0.4160 0.4160 0.4160
Mo 0.5840 0.5840 0.5840

Offset from the most stable computed form, meV/atom: 0
Energy, eV/cell: -26.31
Space group: R-3m (166)

=====

# 13
Material: TlMo2
Method: DFT, PBE-GGA
State: relaxed

a = 9.1102 Å, b = 9.1102 Å, c = 9.1102 Å
α = 60.00°, β = 60.00°, γ = 60.00°
Sites, in units of the cell vectors:
Tl 0.1250 0.1250 0.1250
Tl 0.8750 0.8750 0.8750
Mo 0.0000 0.0000 0.0000
Mo 0.0000 0.0000 0.5000
Mo 0.0000 0.5000 0.0000
Mo 0.5000 0.0000 0.0000

Offset from the most stable computed form, meV/atom: 2916
Energy, eV/cell: -26.25
Space group: Fd-3m (227)

=====

# 14
Material: Tl3Mo5
Method: DFT, PBE-GGA
State: relaxed

a = 7.9881 Å, b = 7.9881 Å, c = 7.9881 Å
α = 96.29°, β = 96.29°, γ = 141.34°
Sites, in units of the cell vectors:
Tl 0.1764 0.6764 0.8529
Tl 0.2500 0.2500 0.0000
Tl 0.3236 0.1764 0.5000
Tl 0.6764 0.8236 0.5000
Tl 0.7500 0.7500 0.0000
Tl 0.8236 0.3236 0.1471
Mo 0.0729 0.2582 0.3311
Mo 0.2418 0.4271 0.6689
Mo 0.2500 0.7500 0.5000
Mo 0.2582 0.9271 0.1852
Mo 0.4271 0.7582 0.1852
Mo 0.5729 0.2418 0.8148
Mo 0.7418 0.0729 0.8148
Mo 0.7500 0.2500 0.5000
Mo 0.7582 0.5729 0.3311
Mo 0.9271 0.7418 0.6689

Energy, eV/cell: -111.83
Space group: I4/mcm (140)

=====

# 15
Material: Tl2Mo
Method: DFT, PBE-GGA
State: relaxed

a = 6.6728 Å, b = 6.6728 Å, c = 6.6728 Å
α = 90.00°, β = 90.00°, γ = 90.00°
Sites, in units of the cell vectors:
Tl 0.2500 0.2500 0.2500
Tl 0.2500 0.2500 0.7500
Tl 0.2500 0.7500 0.2500
Tl 0.2500 0.7500 0.7500
Tl 0.7500 0.2500 0.2500
Tl 0.7500 0.2500 0.7500
Tl 0.7500 0.7500 0.2500
Tl 0.7500 0.7500 0.7500
Mo 0.0000 0.0000 0.0000
Mo 0.0000 0.5000 0.5000
Mo 0.5000 0.0000 0.5000
Mo 0.5000 0.5000 0.0000

Offset from the most stable computed form, meV/atom: 185
Energy, eV/cell: -50.40
Space group: Fm-3m (225)

=====

# 16
Material: TlMo2
Method: DFT, PBE-GGA
State: relaxed

a = 6.3122 Å, b = 6.3122 Å, c = 6.3122 Å
α = 90.00°, β = 90.00°, γ = 90.00°
Sites, in units of the cell vectors:
Tl 0.0000 0.0000 0.0000
Tl 0.0000 0.5000 0.5000
Tl 0.5000 0.0000 0.5000
Tl 0.5000 0.5000 0.0000
Mo 0.2500 0.2500 0.2500
Mo 0.2500 0.2500 0.7500
Mo 0.2500 0.7500 0.2500
Mo 0.2500 0.7500 0.7500
Mo 0.7500 0.2500 0.2500
Mo 0.7500 0.2500 0.7500
Mo 0.7500 0.7500 0.2500
Mo 0.7500 0.7500 0.7500

Offset from the most stable computed form, meV/atom: 930
Energy, eV/cell: -76.34
Space group: Fm-3m (225)

=====

# 17
Material: Tl2Mo
Method: DFT, PBE-GGA
State: relaxed

a = 8.6239 Å, b = 8.6239 Å, c = 8.6239 Å
α = 60.00°, β = 60.00°, γ = 60.00°
Sites, in units of the cell vectors:
Tl 0.0000 0.0000 0.0000
Tl 0.0000 0.0000 0.5000
Tl 0.0000 0.5000 0.0000
Tl 0.5000 0.0000 0.0000
Mo 0.1250 0.1250 0.1250
Mo 0.8750 0.8750 0.8750

Offset from the most stable computed form, meV/atom: 889
Energy, eV/cell: -20.98
Space group: Fd-3m (227)

=====

# 18
Material: TmTlMo
Method: DFT, PBE-GGA
State: relaxed

a = 6.7375 Å, b = 6.7375 Å, c = 6.7375 Å
α = 90.00°, β = 90.00°, γ = 90.00°
Sites, in units of the cell vectors:
Tm 0.0000 0.0000 0.0000
Tm 0.0000 0.5000 0.5000
Tm 0.5000 0.0000 0.5000
Tm 0.5000 0.5000 0.0000
Tl 0.2500 0.2500 0.7500
Tl 0.2500 0.7500 0.2500
Tl 0.7500 0.2500 0.2500
Tl 0.7500 0.7500 0.7500
Mo 0.0000 0.0000 0.5000
Mo 0.0000 0.5000 0.0000
Mo 0.5000 0.0000 0.0000
Mo 0.5000 0.5000 0.5000

Offset from the most stable computed form, meV/atom: 0
Energy, eV/cell: -61.11
Space group: F-43m (216)

=====

# 19
Material: TmTlMo
Method: DFT, PBE-GGA
State: relaxed

a = 6.9137 Å, b = 6.9137 Å, c = 6.9137 Å
α = 90.00°, β = 90.00°, γ = 90.00°
Sites, in units of the cell vectors:
Tm 0.0000 0.0000 0.0000
Tm 0.0000 0.5000 0.5000
Tm 0.5000 0.0000 0.5000
Tm 0.5000 0.5000 0.0000
Tl 0.2500 0.2500 0.2500
Tl 0.2500 0.7500 0.7500
Tl 0.7500 0.2500 0.7500
Tl 0.7500 0.7500 0.2500
Mo 0.2500 0.2500 0.7500
Mo 0.2500 0.7500 0.2500
Mo 0.7500 0.2500 0.2500
Mo 0.7500 0.7500 0.7500

Offset from the most stable computed form, meV/atom: 336
Energy, eV/cell: -57.07
Space group: F-43m (216)

=====

# 20
Material: TlMo2W
Method: DFT, PBE-GGA
State: relaxed

a = 6.5217 Å, b = 6.5217 Å, c = 6.5217 Å
α = 90.00°, β = 90.00°, γ = 90.00°
Sites, in units of the cell vectors:
Tl 0.0000 0.0000 0.0000
Tl 0.0000 0.5000 0.5000
Tl 0.5000 0.0000 0.5000
Tl 0.5000 0.5000 0.0000
Mo 0.0000 0.0000 0.5000
Mo 0.0000 0.5000 0.0000
Mo 0.2500 0.2500 0.7500
Mo 0.2500 0.7500 0.2500
Mo 0.5000 0.0000 0.0000
Mo 0.5000 0.5000 0.5000
Mo 0.7500 0.2500 0.2500
Mo 0.7500 0.7500 0.7500
W 0.2500 0.2500 0.2500
W 0.2500 0.7500 0.7500
W 0.7500 0.2500 0.7500
W 0.7500 0.7500 0.2500

Energy, eV/cell: -135.50
Space group: F-43m (216)